No. 1
DFT (GGA-PBE) results for crystalline Dy2Si4Ir3Au at its relaxed geometry.

a = 4.1577 Å, b = 4.1577 Å, c = 10.0107 Å
α = 90.00°, β = 90.00°, γ = 90.00°
Last column: nearest neighbours and their distance in Å.
Sites, in units of the cell vectors:
Dy: 0.0000 0.5000 0.2376  6 Ir 3.15-3.35, 8 Si 3.16-3.18, 2 Au 3.35
Dy: 0.5000 0.0000 0.7624  6 Ir 3.15-3.35, 8 Si 3.16-3.18, 2 Au 3.35
Si: 0.0000 0.0000 0.0000  4 Ir 2.42
Si: 0.0000 0.5000 0.6420  3 Ir 2.34-2.52, 2 Au 2.52
Si: 0.5000 0.0000 0.3580  3 Ir 2.34-2.52, 2 Au 2.52
Si: 0.5000 0.5000 0.0000  4 Ir 2.42
Ir: 0.0000 0.5000 0.8759  5 Si 2.34-2.42
Ir: 0.5000 0.0000 0.1241  5 Si 2.34-2.42
Ir: 0.5000 0.5000 0.5000  4 Si 2.52
Au: 0.0000 0.0000 0.5000  4 Si 2.52

Computed properties:
The value obtained for the total energy is -6.9650 eV/atom. As for the density of states at the Fermi level: 0.619 states/eV per atom. The formation energy without anion corrections comes out at -889 meV/atom.

---

No. 2
DFT (GGA-PBE) results for crystalline Sb3Rh at its relaxed geometry.

a = 5.7887 Å, b = 5.7887 Å, c = 5.7887 Å
α = 90.00°, β = 90.00°, γ = 90.00°
Last column: nearest neighbours and their distance in Å.
Sites, in units of the cell vectors:
Sb: 0.0000 0.0000 0.5000  4 Sb 2.89, 2 Rh 2.89
Sb: 0.0000 0.5000 0.0000  4 Sb 2.89, 2 Rh 2.89
Sb: 0.0000 0.5000 0.5000  4 Sb 2.89, 2 Rh 2.89
Sb: 0.5000 0.0000 0.0000  4 Sb 2.89, 2 Rh 2.89
Sb: 0.5000 0.0000 0.5000  4 Sb 2.89, 2 Rh 2.89
Sb: 0.5000 0.5000 0.0000  4 Sb 2.89, 2 Rh 2.89
Rh: 0.0000 0.0000 0.0000  6 Sb 2.89
Rh: 0.5000 0.5000 0.5000  6 Sb 2.89

Computed properties:
The value obtained for the total energy is -4.8204 eV/atom. The energy above the most stable polymorph in this dataset comes out at 513.6 meV per atom. As for the density of states at the Fermi level: 0.245 states/eV per atom. The formation energy without anion corrections comes out at 109 meV/atom.

---

No. 3
DFT (GGA-PBE) results for crystalline Th5PS4 at its relaxed geometry.

a = 10.6834 Å, b = 10.6834 Å, c = 10.6834 Å
α = 157.92°, β = 148.79°, γ = 38.56°
Last column: nearest neighbours and their distance in Å.
Sites, in units of the cell vectors:
Th: 0.0000 0.0000 0.0000  2 P 2.87, 4 S 2.87
Th: 0.2001 0.2001 0.0000  6 S 2.86-2.87
Th: 0.4000 0.4000 0.0000  2 P 2.87, 4 S 2.87-2.89
Th: 0.6000 0.6000 0.0000  2 P 2.87, 4 S 2.87-2.89
Th: 0.7999 0.7999 0.0000  6 S 2.86-2.87
P: 0.5000 0.0000 0.5000  6 Th 2.87
S: 0.1001 0.6001 0.5000  6 Th 2.87
S: 0.2990 0.7990 0.5000  6 Th 2.86-2.89
S: 0.7010 0.2010 0.5000  6 Th 2.86-2.89
S: 0.8999 0.3999 0.5000  6 Th 2.87

Computed properties:
The value obtained for the total energy is -7.7047 eV/atom. As for the density of states at the Fermi level: 0.556 states/eV per atom. The formation energy without anion corrections comes out at -1803 meV/atom.

---

No. 4
DFT (GGA-PBE) results for crystalline PuMgAgPd at its relaxed geometry.

a = 6.9714 Å, b = 6.9714 Å, c = 6.9714 Å
α = 90.00°, β = 90.00°, γ = 90.00°
Last column: nearest neighbours and their distance in Å.
Sites, in units of the cell vectors:
Pu: 0.0000 0.0000 0.0000  4 Pd 3.02, 4 Ag 3.02
Pu: 0.0000 0.5000 0.5000  4 Pd 3.02, 4 Ag 3.02
Pu: 0.5000 0.0000 0.5000  4 Pd 3.02, 4 Ag 3.02
Pu: 0.5000 0.5000 0.0000  4 Pd 3.02, 4 Ag 3.02
Mg: 0.0000 0.0000 0.5000  4 Pd 3.02, 4 Ag 3.02
Mg: 0.0000 0.5000 0.0000  4 Pd 3.02, 4 Ag 3.02
Mg: 0.5000 0.0000 0.0000  4 Pd 3.02, 4 Ag 3.02
Mg: 0.5000 0.5000 0.5000  4 Pd 3.02, 4 Ag 3.02
Ag: 0.2500 0.2500 0.2500  4 Mg 3.02, 4 Pu 3.02
Ag: 0.2500 0.7500 0.7500  4 Mg 3.02, 4 Pu 3.02
Ag: 0.7500 0.2500 0.7500  4 Mg 3.02, 4 Pu 3.02
Ag: 0.7500 0.7500 0.2500  4 Mg 3.02, 4 Pu 3.02
Pd: 0.2500 0.2500 0.7500  4 Mg 3.02, 4 Pu 3.02
Pd: 0.2500 0.7500 0.2500  4 Mg 3.02, 4 Pu 3.02
Pd: 0.7500 0.2500 0.2500  4 Mg 3.02, 4 Pu 3.02
Pd: 0.7500 0.7500 0.7500  4 Pu 3.02, 4 Mg 3.02

Computed properties:
The value obtained for the total energy is -6.1979 eV/atom. The formation energy from the elements comes out at -0.2052 eV per atom. As for the density of states at the Fermi level: 3.528 states/eV per atom.

---

No. 5
DFT (GGA-PBE) results for crystalline Ta2Pd3Au at its relaxed geometry.

a = 5.3251 Å, b = 5.3251 Å, c = 7.1292 Å
α = 97.17°, β = 97.17°, γ = 95.80°
Last column: nearest neighbours and their distance in Å.
Sites, in units of the cell vectors:
Ta: 0.1196 0.6320 0.8749  2 Ta 2.74-2.76, 9 Pd 2.89-3.03, 3 Au 2.95-3.02
Ta: 0.3680 0.8804 0.6251  2 Ta 2.74-2.76, 9 Pd 2.89-3.03, 3 Au 2.95-3.02
Ta: 0.6320 0.1196 0.3749  2 Ta 2.74-2.76, 9 Pd 2.89-3.03, 3 Au 2.95-3.02
Ta: 0.8804 0.3680 0.1251  2 Ta 2.74-2.76, 9 Pd 2.89-3.03, 3 Au 2.95-3.02
Pd: 0.0907 0.9093 0.2500  4 Pd 2.62-2.74, 1 Au 2.64, 2 Ta 2.92
Pd: 0.1590 0.3274 0.4953  3 Pd 2.62-2.74, 2 Au 2.65-2.76, 3 Ta 2.89-2.93
Pd: 0.3274 0.1590 0.9953  3 Pd 2.62-2.74, 2 Au 2.65-2.76, 3 Ta 2.89-2.93
Pd: 0.6726 0.8410 0.0047  3 Pd 2.62-2.74, 2 Au 2.65-2.76, 3 Ta 2.89-2.93
Pd: 0.8410 0.6726 0.5047  3 Pd 2.62-2.74, 2 Au 2.65-2.76, 3 Ta 2.89-2.93
Pd: 0.9093 0.0907 0.7500  4 Pd 2.62-2.74, 1 Au 2.64, 2 Ta 2.92
Au: 0.4249 0.5751 0.2500  5 Pd 2.64-2.76, 2 Ta 2.95
Au: 0.5751 0.4249 0.7500  5 Pd 2.64-2.76, 2 Ta 2.95

Computed properties:
The value obtained for the total energy is -7.3025 eV/atom. The formation energy from the elements comes out at -0.2090 eV per atom. As for the density of states at the Fermi level: 0.857 states/eV per atom.

---

No. 6
DFT (GGA-PBE) results for crystalline La3NbRe at its relaxed geometry.

a = 5.4647 Å, b = 5.4647 Å, c = 5.4647 Å
α = 90.00°, β = 90.00°, γ = 90.00°
Last column: nearest neighbours and their distance in Å.
Sites, in units of the cell vectors:
La: 0.0000 0.0000 0.5000  2 Re 2.73
La: 0.0000 0.5000 0.0000  2 Re 2.73
La: 0.5000 0.0000 0.0000  2 Re 2.73
Nb: 0.5000 0.5000 0.5000  12 La 3.86
Re: 0.0000 0.0000 0.0000  6 La 2.73

Computed properties:
The value obtained for the total energy is -6.5906 eV/atom. The energy above the most stable polymorph in this dataset comes out at 0.0 meV per atom. The formation energy from the elements comes out at 0.8694 eV per atom. As for the density of states at the Fermi level: 3.181 states/eV per atom.

---

No. 7
DFT (GGA-PBE) results for crystalline Cd4SbAs at its relaxed geometry.

a = 7.2902 Å, b = 7.3147 Å, c = 6.1279 Å
α = 90.00°, β = 90.00°, γ = 90.00°
Last column: nearest neighbours and their distance in Å.
Sites, in units of the cell vectors:
Cd: 0.2500 0.2500 0.2391  2 Cd 2.93-3.20, 2 As 2.97, 2 Sb 3.04
Cd: 0.2500 0.2500 0.7609  2 Cd 2.93-3.20, 2 As 2.97, 2 Sb 3.04
Cd: 0.2500 0.7500 0.2391  2 Cd 2.93-3.20, 2 As 2.97, 2 Sb 3.04
Cd: 0.2500 0.7500 0.7609  2 Cd 2.93-3.20, 2 As 2.97, 2 Sb 3.04
Cd: 0.7500 0.2500 0.2391  2 Cd 2.93-3.20, 2 As 2.97, 2 Sb 3.04
Cd: 0.7500 0.2500 0.7609  2 Cd 2.93-3.20, 2 As 2.97, 2 Sb 3.04
Cd: 0.7500 0.7500 0.2391  2 Cd 2.93-3.20, 2 As 2.97, 2 Sb 3.04
Cd: 0.7500 0.7500 0.7609  2 Cd 2.93-3.20, 2 As 2.97, 2 Sb 3.04
Sb: 0.0000 0.0000 0.5000  8 Cd 3.04
Sb: 0.5000 0.5000 0.5000  8 Cd 3.04
As: 0.0000 0.5000 0.0000  8 Cd 2.97
As: 0.5000 0.0000 0.0000  8 Cd 2.97

Computed properties:
The value obtained for the total energy is -2.0284 eV/atom. The energy above the most stable polymorph in this dataset comes out at 0.0 meV per atom. As for the density of states at the Fermi level: 0.435 states/eV per atom. The formation energy without anion corrections comes out at 44 meV/atom.

---

No. 8
DFT (GGA-PBE) results for crystalline Sr2Cd4GaSn3 at its relaxed geometry.

a = 4.7406 Å, b = 4.7406 Å, c = 12.3542 Å
α = 90.00°, β = 90.00°, γ = 90.00°
Last column: nearest neighbours and their distance in Å.
Sites, in units of the cell vectors:
Sr: 0.0000 0.5000 0.2455  6 Sn 3.63-3.85, 8 Cd 3.63-3.94, 2 Ga 3.85
Sr: 0.5000 0.0000 0.7545  6 Sn 3.63-3.85, 8 Cd 3.63-3.94, 2 Ga 3.85
Cd: 0.0000 0.0000 0.5000  4 Sn 2.95
Cd: 0.0000 0.5000 0.8681  3 Sn 2.80-2.88, 2 Ga 2.88
Cd: 0.5000 0.0000 0.1319  3 Sn 2.80-2.88, 2 Ga 2.88
Cd: 0.5000 0.5000 0.5000  4 Sn 2.95
Ga: 0.5000 0.5000 0.0000  4 Cd 2.88
Sn: 0.0000 0.0000 0.0000  4 Cd 2.88
Sn: 0.0000 0.5000 0.6416  5 Cd 2.80-2.95
Sn: 0.5000 0.0000 0.3584  5 Cd 2.80-2.95

Computed properties:
The value obtained for the total energy is -2.5323 eV/atom. The formation energy from the elements comes out at -0.3264 eV per atom. As for the density of states at the Fermi level: 0.198 states/eV per atom.